PrFeCl6: optimized geometry, PBE.

```
PrFeCl6
1.0
-1.0259 6.4071 1.5395
-4.0708 -4.7043 2.4025
7.0639 -1.1875 9.6341
Cl Fe Pr
12 2 2
Direct
0.0000 0.7077 0.1319 Cl
0.7074 0.9997 0.1321 Cl
0.2924 0.2923 0.1322 Cl
0.7077 0.7076 0.3678 Cl
0.0003 0.2926 0.3679 Cl
0.2923 0.0000 0.3681 Cl
0.7077 0.0000 0.6319 Cl
0.9997 0.7074 0.6321 Cl
0.2923 0.2924 0.6322 Cl
0.7076 0.7077 0.8678 Cl
0.2926 0.0003 0.8679 Cl
0.0000 0.2923 0.8681 Cl
0.9999 0.0001 0.2500 Fe
0.0001 0.9999 0.7500 Fe
0.3334 0.6667 0.2500 Pr
0.6667 0.3333 0.7500 Pr
```

## Properties
- Mass density: 2.9 g cm⁻³
- Magnetization: 5.01 μB per formula unit
- Final energy: -4.46 eV per atom
- Space-group type: No. 163

***

Fe2PtCl8: optimized geometry, PBE.

```
Fe2PtCl8
1.0
6.3691 -3.7323 0.0000
6.3691 3.7323 0.0000
-0.4921 0.0000 7.0175
Cl Fe Pt
8 2 1
Direct
0.3220 0.3220 0.1564 Cl
0.8443 0.2822 0.2120 Cl
0.2822 0.8443 0.2120 Cl
0.7885 0.7885 0.3856 Cl
0.2115 0.2115 0.6144 Cl
0.7178 0.1557 0.7880 Cl
0.1557 0.7178 0.7880 Cl
0.6780 0.6780 0.8436 Cl
0.1830 0.1830 0.3097 Fe
0.8170 0.8170 0.6903 Fe
0.0000 0.0000 0.0000 Pt
```

## Properties
- Mass density: 2.9 g cm⁻³
- Magnetization: 10.00 μB per formula unit
- Final energy: -4.03 eV per atom
- Space-group type: No. 12

***

Among the records above, which one has the highest final energy?
Fe2PtCl8

***

Please write out number 2 again, unchanged.
Fe2PtCl8: optimized geometry, PBE.

```
Fe2PtCl8
1.0
6.3691 -3.7323 0.0000
6.3691 3.7323 0.0000
-0.4921 0.0000 7.0175
Cl Fe Pt
8 2 1
Direct
0.3220 0.3220 0.1564 Cl
0.8443 0.2822 0.2120 Cl
0.2822 0.8443 0.2120 Cl
0.7885 0.7885 0.3856 Cl
0.2115 0.2115 0.6144 Cl
0.7178 0.1557 0.7880 Cl
0.1557 0.7178 0.7880 Cl
0.6780 0.6780 0.8436 Cl
0.1830 0.1830 0.3097 Fe
0.8170 0.8170 0.6903 Fe
0.0000 0.0000 0.0000 Pt
```

## Properties
- Mass density: 2.9 g cm⁻³
- Magnetization: 10.00 μB per formula unit
- Final energy: -4.03 eV per atom
- Space-group type: No. 12

***

The lowest final energy belongs to which entry?
PrFeCl6